First-principles (PBE) data for crystalline Mg2TeBr at its relaxed geometry, as listed in the Alexandria database.

Unit cell a=7.6271 b=7.6271 c=4.2169 alpha=105.92 beta=105.92 gamma=31.11
Closest atoms and distances in Å follow each position.
Fractional positions:
Mg: 0.0000 0.0000 0.0000  2 Br 2.72, 2 Te 2.94
Mg: 0.1796 0.1796 0.6801  1 Br 2.72, 4 Te 2.97
Te: 0.6502 0.6502 0.1508  6 Mg 2.94-2.97
Br: 0.3730 0.3730 0.8717  3 Mg 2.72

Spin magnetization, μB/cell: 0.0
Distance to the lowest polymorph of the same formula, meV/atom: 10
Fermi-level density of states, states/eV/f.u.: 1.4
Uncorrected formation energy, meV per atom: -707
Total energy, eV/atom: -2.7084

First-principles (PBE) data for crystalline Mg2TeBr at its relaxed geometry, as listed in the Alexandria database.

Unit cell a=8.2016 b=8.2016 c=8.2016 alpha=133.84 beta=133.84 gamma=67.33
Closest atoms and distances in Å follow each position.
Fractional positions:
Mg: 0.1225 0.6250 0.9975  2 Br 2.83, 2 Te 2.85
Mg: 0.3750 0.3725 0.4975  2 Br 2.83, 2 Te 2.85
Mg: 0.6275 0.1250 0.0025  2 Br 2.83, 2 Te 2.85
Mg: 0.8750 0.8775 0.5025  2 Br 2.83, 2 Te 2.85
Te: 0.2500 0.7500 0.5000  4 Mg 2.85
Te: 0.5000 0.5000 0.0000  4 Mg 2.85
Br: 0.0000 0.0000 0.0000  4 Mg 2.83
Br: 0.7500 0.2500 0.5000  4 Mg 2.83

Spin magnetization, μB/cell: 0.0
Distance to the lowest polymorph of the same formula, meV/atom: 99
Fermi-level density of states, states/eV/f.u.: 1.7
Uncorrected formation energy, meV per atom: -619
Total energy, eV/atom: -2.6196

First-principles (PBE) data for crystalline Mg2TeBr at its relaxed geometry, as listed in the Alexandria database.

Unit cell a=3.7338 b=3.7338 c=7.4485 alpha=90.00 beta=90.00 gamma=90.00
Closest atoms and distances in Å follow each position.
Fractional positions:
Mg: 0.0000 0.0000 0.2137  4 Te 3.08, 1 Mg 3.18, 4 Br 3.39
Mg: 0.0000 0.0000 0.7863  4 Te 3.08, 1 Mg 3.18, 4 Br 3.39
Te: 0.5000 0.5000 0.0000  8 Mg 3.08
Br: 0.5000 0.5000 0.5000  8 Mg 3.39, 2 Te 3.72, 4 Br 3.73

Spin magnetization, μB/cell: 0.0
Distance to the lowest polymorph of the same formula, meV/atom: 224
Fermi-level density of states, states/eV/f.u.: 1.0
Uncorrected formation energy, meV per atom: -493
Total energy, eV/atom: -2.4938